[1]
# HoTcAsO (PBE, optimized geometry)
data_HoTcAsO
_chemical_formula_sum 'Ho2 Tc2 As2 O2'
_cell_length_a 3.942
_cell_length_b 3.942
_cell_length_c 8.478
_cell_angle_alpha 90.00
_cell_angle_beta 90.00
_cell_angle_gamma 90.00
_symmetry_space_group_name_H-M 'P 1'
_symmetry_Int_Tables_number 1
loop_
_symmetry_equiv_pos_as_xyz
'x,y,z'
loop_
_atom_site_label
_atom_site_fract_x
_atom_site_fract_y
_atom_site_fract_z
As1 0.000 0.500 0.319
As2 0.500 0.000 0.681
Ho1 0.500 0.000 0.127
Ho2 0.000 0.500 0.873
O1 0.000 0.000 0.000
O2 0.500 0.500 0.000
Tc1 0.000 0.000 0.500
Tc2 0.500 0.500 0.500
# Energy above the most stable polymorph in this dataset = 0 meV/atom

***

[2]
# HoTeAsO (PBE, optimized geometry)
data_HoTeAsO
_chemical_formula_sum 'Ho2 Te2 As2 O2'
_cell_length_a 5.584
_cell_length_b 5.584
_cell_length_c 5.219
_cell_angle_alpha 90.00
_cell_angle_beta 90.00
_cell_angle_gamma 90.00
_symmetry_space_group_name_H-M 'P 1'
_symmetry_Int_Tables_number 1
loop_
_symmetry_equiv_pos_as_xyz
'x,y,z'
loop_
_atom_site_label
_atom_site_fract_x
_atom_site_fract_y
_atom_site_fract_z
As1 0.750 0.750 0.370
As2 0.250 0.250 0.630
Ho1 0.750 0.250 0.500
Ho2 0.250 0.750 0.500
O1 0.750 0.250 0.000
O2 0.250 0.750 0.000
Te1 0.250 0.250 0.120
Te2 0.750 0.750 0.880
# Energy above the most stable polymorph in this dataset = 621 meV/atom

***

no.,total DFT energy (no corrections) (eV/f.u.),total magnetic moment (μB per atom)
1,-31.69,0.00
2,-20.13,0.00